Crystalline Rb2CdPb7 at its relaxed geometry, computed with PBE-GGA.

extended XYZ file:
```
10
Lattice="5.235 0.000 0.000 0.000 5.235 0.000 0.000 0.000 13.805" Properties=species:S:1:pos:R:3 pbc="T T T"
Rb 0.000 2.617 3.362
Rb 2.617 0.000 10.443
Cd 2.617 2.617 0.000
Pb 0.000 0.000 0.000
Pb 0.000 0.000 6.902
Pb 0.000 2.617 8.791
Pb 0.000 2.617 12.035
Pb 2.617 0.000 1.769
Pb 2.617 0.000 5.013
Pb 2.617 2.617 6.902
```

* final energy: -2.959 eV/atom
* space group: P-4m2, No. 115
* Fermi-level density of states: 4.20 states/eV/f.u.
* formation energy from the elements: -0.08 eV/atom